(1)
Compound: Dy2Ga5Co2Ag
Source: Alexandria via LeMat-Bulk
Functional: GGA-PBE
Structure: optimized geometry

Cell and atoms, written as extended XYZ:
```
20
Lattice="4.052 0.000 0.000 0.000 9.239 0.000 0.000 0.000 9.239" Properties=species:S:1:pos:R:3 pbc="T T T"
Co 0.000 1.028 5.647
Ga 2.026 2.631 5.214
Ga 2.026 0.000 4.619
Co 0.000 8.211 3.591
Ag 0.000 0.000 0.000
Ga 2.026 8.645 1.989
Ga 2.026 6.608 4.025
Co 0.000 3.591 1.028
Co 0.000 5.647 8.211
Ga 2.026 4.025 2.631
Ga 2.026 0.594 7.250
Ag 0.000 4.619 4.619
Ga 2.026 5.214 6.608
Dy 0.000 2.943 7.562
Ga 2.026 4.619 0.000
Dy 0.000 7.562 6.296
Ga 2.026 1.989 0.594
Dy 0.000 6.296 1.677
Ga 2.026 7.250 8.645
Dy 0.000 1.677 2.943
```

## Properties
* space-group type: P4/mbm (127)
* formation enthalpy at 0 K: -398 meV per atom
* density of states at the Fermi level: 6.44 states/eV/f.u.
* magnetic moment: 0.00 Bohr magnetons per cell
* electronic total energy: -4.538 eV/atom

(2)
Compound: Mn2CdPb
Source: Alexandria via LeMat-Bulk
Functional: GGA-PBE
Structure: optimized geometry

Cell and atoms, written as extended XYZ:
```
4
Lattice="-1.447 0.271 2.935 -2.457 -1.918 -1.034 3.708 -6.034 2.386" Properties=species:S:1:pos:R:3 pbc="T T T"
Mn -1.170 -2.095 1.454
Pb 1.733 -2.821 1.115
Cd 1.015 -5.651 2.860
Mn 0.081 -0.131 0.052
```

## Properties
* space-group type: P4mm (99)
* formation enthalpy at 0 K: 381 meV per atom
* density of states at the Fermi level: 1.80 states/eV/f.u.
* magnetic moment: 7.19 Bohr magnetons per cell
* electronic total energy: -5.360 eV/atom

(3)
Compound: Y2CoSe
Source: Alexandria via LeMat-Bulk
Functional: GGA-PBE
Structure: optimized geometry

Cell and atoms, written as extended XYZ:
```
4
Lattice="-1.830 -3.066 -4.401 -1.197 -5.374 -1.346 -3.875 0.557 1.223" Properties=species:S:1:pos:R:3 pbc="T T T"
Se -1.387 -2.448 -1.561
Y -0.521 -0.032 0.083
Y -4.623 -5.787 -3.413
Co -3.823 -3.558 -1.895
```

## Properties
* space-group type: Amm2 (38)
* E_form (uncorrected): -846 meV/atom
* density of states at the Fermi level: 2.64 states/eV/f.u.
* magnetic moment: 0.00 Bohr magnetons per cell
* electronic total energy: -6.726 eV/atom

Which value of density of states at the Fermi level does entry 3 give? 2.64 states/eV/f.u.